Entry 1:
Computed, not measured: a geometry-optimized HgPtS2 structure at the PBE-GGA level of DFT.

a = 12.357 Å, b = 5.754 Å, c = 8.474 Å
α = 90.00°, β = 142.32°, γ = 90.00°
Element x y z (fractional)
S1 0.410 0.183 0.000
S2 0.055 0.976 0.331
S3 0.090 0.683 0.500
S4 0.590 0.817 0.000
S5 0.555 0.524 0.831
S6 0.945 0.024 0.669
S7 0.910 0.317 0.500
S8 0.445 0.476 0.169
Hg1 0.770 0.253 0.881
Hg2 0.270 0.247 0.381
Hg3 0.730 0.753 0.619
Hg4 0.230 0.747 0.119
Pt1 0.473 0.122 0.341
Pt2 0.027 0.622 0.159
Pt3 0.527 0.878 0.659
Pt4 0.973 0.378 0.841

Values from the calculation:
- theoretical density (g/cm³) = 8.3
- crystal system = monoclinic
- formation energy from raw total energies (eV/atom) = 0.10

***

Entry 2:
Computed, not measured: a geometry-optimized Sm4DyHo2Er structure at the PBE-GGA level of DFT.

a = 5.074 Å, b = 5.059 Å, c = 11.255 Å
α = 63.27°, β = 90.00°, γ = 90.00°
Element x y z (fractional)
Sm1 0.500 0.749 0.251
Sm2 0.500 0.251 0.749
Sm3 0.000 0.249 0.251
Sm4 0.000 0.751 0.749
Dy1 0.500 0.500 0.000
Ho1 0.000 0.000 0.000
Ho2 0.500 0.000 0.500
Er1 0.000 0.500 0.500

Values from the calculation:
- theoretical density (g/cm³) = 8.1
- crystal system = orthorhombic
- ΔH_f (0 K) (eV/atom) = 0.017

***

Entry 3:
Computed, not measured: a geometry-optimized Be2SnH structure at the PBE-GGA level of DFT.

a = 4.139 Å, b = 4.139 Å, c = 4.139 Å
α = 60.00°, β = 60.00°, γ = 60.00°
Last column: magnetic moment on the atom in μB.
Element x y z (fractional)
Sn1 0.500 0.500 0.500  0.09
H1 0.000 0.000 0.000  0.18
Be1 0.750 0.750 0.750  0.04
Be2 0.250 0.250 0.250  0.04

Values from the calculation:
- theoretical density (g/cm³) = 4.6
- ΔE to the lowest computed polymorph (meV per atom) = 581
- crystal system = cubic

***

Entry 4:
Computed, not measured: a geometry-optimized PrGaCo2 structure at the PBE-GGA level of DFT.

a = 4.161 Å, b = 5.436 Å, c = 6.442 Å
α = 90.00°, β = 90.00°, γ = 90.00°
Last column: magnetic moment on the atom in μB.
Element x y z (fractional)
Co1 0.000 0.603 0.311  0.81
Co2 0.500 0.397 0.811  0.81
Co3 0.500 0.397 0.189  0.81
Co4 0.000 0.603 0.689  0.81
Ga1 0.000 0.342 0.000  -0.03
Ga2 0.500 0.658 0.500  -0.03
Pr1 0.000 0.129 0.500  -0.12
Pr2 0.500 0.871 0.000  -0.12

Values from the calculation:
- theoretical density (g/cm³) = 7.5
- crystal system = orthorhombic
- ΔH_f (0 K) (eV/atom) = -0.236

***

Entry 5:
Computed, not measured: a geometry-optimized La2PaMo2N6 structure at the PBE-GGA level of DFT.

a = 5.913 Å, b = 5.913 Å, c = 6.835 Å
α = 64.37°, β = 64.37°, γ = 60.00°
Element x y z (fractional)
N1 0.221 0.749 0.280
N2 0.251 0.779 0.720
N3 0.749 0.221 0.280
N4 0.251 0.251 0.720
N5 0.749 0.749 0.280
N6 0.779 0.251 0.720
La1 0.793 0.793 0.620
La2 0.207 0.207 0.380
Pa1 0.000 0.000 0.000
Mo1 0.403 0.403 0.792
Mo2 0.597 0.597 0.208

Values from the calculation:
- theoretical density (g/cm³) = 7.3
- crystal system = trigonal
- formation energy from raw total energies (eV/atom) = -0.92

***

Entry 6:
Computed, not measured: a geometry-optimized DySn2Te4Au structure at the PBE-GGA level of DFT.

a = 4.353 Å, b = 7.831 Å, c = 7.801 Å
α = 68.46°, β = 90.00°, γ = 90.00°
Element x y z (fractional)
Te1 0.500 0.749 0.263
Te2 0.000 0.277 0.232
Te3 0.000 0.723 0.768
Te4 0.500 0.251 0.737
Sn1 0.000 0.000 0.000
Sn2 0.500 0.000 0.500
Au1 0.500 0.500 0.000
Dy1 0.000 0.500 0.500

Values from the calculation:
- theoretical density (g/cm³) = 7.4
- crystal system = monoclinic
- formation energy from raw total energies (eV/atom) = -0.48

***

Entry 7:
Computed, not measured: a geometry-optimized Pr2HoBe structure at the PBE-GGA level of DFT.

a = 3.504 Å, b = 3.504 Å, c = 11.884 Å
α = 81.52°, β = 81.52°, γ = 60.00°
Element x y z (fractional)
Pr1 0.916 0.916 0.253
Pr2 0.084 0.084 0.747
Ho1 0.500 0.500 0.500
Be1 0.000 0.000 0.000

Values from the calculation:
- theoretical density (g/cm³) = 6.1
- ΔE to the lowest computed polymorph (meV per atom) = 546
- crystal system = trigonal
- ΔH_f (0 K) (eV/atom) = 0.684

***

Entry 8:
Computed, not measured: a geometry-optimized BaSiAu structure at the PBE-GGA level of DFT.

a = 5.552 Å, b = 5.552 Å, c = 5.552 Å
α = 139.40°, β = 124.29°, γ = 71.18°
Element x y z (fractional)
Si1 0.696 0.696 0.000
Ba1 0.339 0.339 0.000
Au1 0.964 0.964 0.000

Values from the calculation:
- theoretical density (g/cm³) = 6.7
- crystal system = orthorhombic
- formation energy from raw total energies (eV/atom) = -0.03

***

Entry 9:
Computed, not measured: a geometry-optimized CePaTe structure at the PBE-GGA level of DFT.

a = 5.757 Å, b = 5.170 Å, c = 6.276 Å
α = 90.00°, β = 117.30°, γ = 90.00°
Element x y z (fractional)
Pa1 0.289 0.875 0.579
Pa2 0.711 0.375 0.421
Te1 0.881 0.876 0.762
Te2 0.119 0.376 0.238
Ce1 0.582 0.875 0.165
Ce2 0.418 0.375 0.835

Values from the calculation:
- theoretical density (g/cm³) = 10.0
- ΔE to the lowest computed polymorph (meV per atom) = 126
- crystal system = orthorhombic
- formation energy from raw total energies (eV/atom) = -0.20

***

Entry 10:
Computed, not measured: a geometry-optimized PrPd2Pt4 structure at the PBE-GGA level of DFT.

a = 6.239 Å, b = 6.239 Å, c = 6.239 Å
α = 100.32°, β = 100.32°, γ = 129.92°
Element x y z (fractional)
Pt1 0.500 0.279 0.779
Pt2 0.500 0.721 0.221
Pt3 0.721 0.500 0.221
Pt4 0.279 0.500 0.779
Pd1 0.250 0.750 0.500
Pd2 0.750 0.250 0.500
Pr1 0.000 0.000 0.000

Values from the calculation:
- theoretical density (g/cm³) = 11.2
- ΔE to the lowest computed polymorph (meV per atom) = 588
- crystal system = tetragonal
- ΔH_f (0 K) (eV/atom) = 0.119

***

Entry 11:
Computed, not measured: a geometry-optimized Cd4AgRh structure at the PBE-GGA level of DFT.

a = 3.124 Å, b = 6.319 Å, c = 7.698 Å
α = 120.76°, β = 78.29°, γ = 75.69°
Element x y z (fractional)
Cd1 0.838 0.504 0.820
Cd2 0.314 0.034 0.338
Cd3 0.162 0.496 0.180
Cd4 0.686 0.966 0.662
Ag1 0.000 0.000 0.000
Rh1 0.500 0.500 0.500

Values from the calculation:
- theoretical density (g/cm³) = 9.4
- ΔE to the lowest computed polymorph (meV per atom) = 0
- crystal system = monoclinic
- ΔH_f (0 K) (eV/atom) = -0.053

***

Entry 12:
Computed, not measured: a geometry-optimized ReAs2Pb structure at the PBE-GGA level of DFT.

a = 4.877 Å, b = 4.877 Å, c = 3.421 Å
α = 89.97°, β = 89.97°, γ = 107.81°
Element x y z (fractional)
Re1 0.000 0.500 0.500
As1 0.500 0.500 0.000
As2 0.000 0.000 0.000
Pb1 0.500 0.000 0.500

Values from the calculation:
- theoretical density (g/cm³) = 11.6
- crystal system = orthorhombic
- ΔH_f (0 K) (eV/atom) = 0.863

***

Entry 13:
Computed, not measured: a geometry-optimized Er5TlNi2 structure at the PBE-GGA level of DFT.

a = 7.617 Å, b = 7.617 Å, c = 8.569 Å
α = 116.39°, β = 116.39°, γ = 90.00°
Element x y z (fractional)
Ni1 0.872 0.628 0.000
Ni2 0.628 0.128 0.000
Ni3 0.128 0.372 0.000
Ni4 0.372 0.872 0.000
Er1 0.706 0.206 0.733
Er2 0.206 0.026 0.733
Er3 0.500 0.500 0.000
Er4 0.294 0.794 0.267
Er5 0.794 0.974 0.267
Er6 0.974 0.474 0.267
Er7 0.026 0.526 0.733
Er8 0.526 0.706 0.733
Er9 0.474 0.294 0.267
Er10 0.000 0.000 0.000
Tl1 0.750 0.750 0.500
Tl2 0.250 0.250 0.500

Values from the calculation:
- theoretical density (g/cm³) = 9.9
- crystal system = tetragonal
- ΔH_f (0 K) (eV/atom) = -0.348

***

Entry 14:
Computed, not measured: a geometry-optimized Ho6Ga3Pt structure at the PBE-GGA level of DFT.

a = 4.981 Å, b = 8.624 Å, c = 11.548 Å
α = 90.00°, β = 90.00°, γ = 90.00°
Element x y z (fractional)
Ho1 0.500 0.825 0.414
Ho2 0.000 0.337 0.413
Ho3 0.500 0.837 0.087
Ho4 0.000 0.663 0.587
Ho5 0.000 0.995 0.247
Ho6 0.000 0.325 0.086
Ho7 0.500 0.505 0.747
Ho8 0.500 0.163 0.913
Ho9 0.000 0.675 0.914
Ho10 0.500 0.175 0.586
Ho11 0.500 0.495 0.253
Ho12 0.000 0.005 0.753
Pt1 0.000 0.000 0.000
Pt2 0.500 0.500 0.500
Ga1 0.500 0.500 0.000
Ga2 0.000 0.339 0.767
Ga3 0.500 0.839 0.733
Ga4 0.000 0.661 0.233
Ga5 0.000 0.000 0.500
Ga6 0.500 0.161 0.267

Values from the calculation:
- theoretical density (g/cm³) = 9.3
- crystal system = orthorhombic
- ΔH_f (0 K) (eV/atom) = -0.583

***

Entry 15:
Computed, not measured: a geometry-optimized SrMn2Tc structure at the PBE-GGA level of DFT.

a = 4.997 Å, b = 4.997 Å, c = 3.014 Å
α = 89.97°, β = 89.97°, γ = 105.83°
Last column: magnetic moment on the atom in μB.
Element x y z (fractional)
Tc1 0.000 0.500 0.500  -0.30
Mn1 0.500 0.500 0.000  3.41
Mn2 0.000 0.000 0.000  3.41
Sr1 0.500 0.000 0.500  -0.04

Values from the calculation:
- theoretical density (g/cm³) = 6.8
- ΔE to the lowest computed polymorph (meV per atom) = 508
- crystal system = orthorhombic
- ΔH_f (0 K) (eV/atom) = 0.912

***

Entry 16:
Computed, not measured: a geometry-optimized CsErSnI6 structure at the PBE-GGA level of DFT.

a = 8.106 Å, b = 8.105 Å, c = 8.531 Å
α = 89.99°, β = 89.99°, γ = 60.00°
Element x y z (fractional)
I1 0.017 0.619 0.708
I2 0.365 0.619 0.292
I3 0.619 0.364 0.708
I4 0.017 0.365 0.292
I5 0.619 0.017 0.292
I6 0.364 0.017 0.708
Sn1 0.667 0.667 0.500
Er1 0.333 0.333 0.500
Cs1 0.000 0.000 0.000

Values from the calculation:
- theoretical density (g/cm³) = 4.0
- crystal system = trigonal
- formation energy from raw total energies (eV/atom) = -1.15

***

Entry 17:
Computed, not measured: a geometry-optimized Rb2HfB2 structure at the PBE-GGA level of DFT.

a = 5.356 Å, b = 5.356 Å, c = 6.138 Å
α = 64.13°, β = 64.13°, γ = 90.00°
Element x y z (fractional)
Hf1 0.000 0.000 0.000
B1 0.750 0.250 0.500
B2 0.250 0.750 0.500
Rb1 0.649 0.649 0.701
Rb2 0.351 0.351 0.299

Values from the calculation:
- theoretical density (g/cm³) = 4.4
- ΔE to the lowest computed polymorph (meV per atom) = 355
- crystal system = tetragonal
- ΔH_f (0 K) (eV/atom) = 2.431

***

Entry 18:
Computed, not measured: a geometry-optimized Rb2PmUTe4 structure at the PBE-GGA level of DFT.

a = 4.593 Å, b = 7.943 Å, c = 8.985 Å
α = 107.18°, β = 90.00°, γ = 90.00°
Last column: magnetic moment on the atom in μB.
Element x y z (fractional)
Te1 0.500 0.231 0.202  -0.04
Te2 0.500 0.769 0.798  -0.04
Te3 0.000 0.737 0.204  -0.02
Te4 0.000 0.263 0.796  -0.02
Rb1 0.000 0.500 0.500  0.00
Rb2 0.500 0.000 0.500  0.00
Pm1 0.500 0.500 0.000  0.07
U1 0.000 0.000 0.000  2.75

Values from the calculation:
- theoretical density (g/cm³) = 5.6
- crystal system = monoclinic
- formation energy from raw total energies (eV/atom) = -1.11

***

Entry 19:
Computed, not measured: a geometry-optimized P2Ir2F structure at the PBE-GGA level of DFT.

a = 7.059 Å, b = 7.059 Å, c = 2.782 Å
α = 90.00°, β = 90.00°, γ = 90.00°
Element x y z (fractional)
P1 0.350 0.150 0.500
P2 0.650 0.850 0.500
P3 0.150 0.650 0.500
P4 0.850 0.350 0.500
Ir1 0.860 0.640 0.000
Ir2 0.140 0.360 0.000
Ir3 0.360 0.860 0.000
Ir4 0.640 0.140 0.000
F1 0.000 0.000 0.000
F2 0.500 0.500 0.000

Values from the calculation:
- theoretical density (g/cm³) = 11.1
- ΔE to the lowest computed polymorph (meV per atom) = 4
- crystal system = tetragonal
- formation energy from raw total energies (eV/atom) = -0.28

***

Entry 20:
Computed, not measured: a geometry-optimized K4USe5 structure at the PBE-GGA level of DFT.

a = 6.393 Å, b = 7.968 Å, c = 7.968 Å
α = 80.74°, β = 66.35°, γ = 66.35°
Element x y z (fractional)
Se1 0.925 0.324 0.832
Se2 0.081 0.676 0.168
Se3 0.249 0.832 0.676
Se4 0.757 0.168 0.324
Se5 0.455 0.000 0.000
K1 0.803 0.800 0.600
K2 0.603 0.600 0.200
K3 0.203 0.200 0.400
K4 0.403 0.400 0.800
U1 0.032 0.000 0.000

Values from the calculation:
- theoretical density (g/cm³) = 3.8
- crystal system = tetragonal
- formation energy from raw total energies (eV/atom) = -1.17